This record from Alexandria via LeMat-Bulk describes an optimized crystal structure of AcGeH2Rh2. The functional is PBE.

abc: 5.654 5.654 6.512
angles: 90.00 103.08 90.00
Sites, in units of the cell vectors:
Ac1 0.202 0.250 0.323
Ac2 0.798 0.750 0.677
Ge1 0.317 0.750 0.090
Ge2 0.683 0.250 0.910
H1 0.128 0.250 0.708
H2 0.274 0.750 0.616
H3 0.726 0.250 0.384
H4 0.872 0.750 0.292
Rh1 0.320 0.003 0.786
Rh2 0.320 0.497 0.786
Rh3 0.680 0.503 0.214
Rh4 0.680 0.997 0.214

Properties
volume: 101.4 Å³/f.u.
energy: -66.175 eV for the cell shown
SG: P2_1/m, No. 11